The following is a DFT calculation (PBE) of crystalline NiP2W at its relaxed geometry.

Geometry as POSCAR:
```
NiP2W
1.0
2.757 0.000 0.000
0.000 2.757 0.000
0.000 0.000 8.265
Ni P W
1 2 1
Cartesian
0.000 0.000 0.000
0.000 0.000 4.618
1.378 1.378 1.300
1.378 1.378 6.395
```

Properties
VASP energy, Ry/atom: -0.535
Space-group type: No. 99
Formation enthalpy at 0 K, kJ per mole of atoms: 11
Density of states at the Fermi level, states/eV/f.u.: 1.32